Below is a relaxed structure of CaSbPt10, with properties calculated at the PBE level.

VASP energy	-69.50	eV for the cell shown
SG	No. 47
size of the total moment	0.00	μB per formula unit
uncorrected formation energy	-0.247	eV/atom

a = 4.476 Å, b = 5.380 Å, c = 9.228 Å
α = 90.00°, β = 90.00°, γ = 90.00°
Element x y z (fractional)
Pt  0.500  0.500  0.000
Pt  0.000  0.500  0.824
Pt  0.000  0.500  0.176
Ca  0.000  0.000  0.000
Pt  0.000  0.000  0.662
Pt  0.500  0.752  0.752
Sb  0.000  0.500  0.500
Pt  0.500  0.248  0.752
Pt  0.000  0.000  0.338
Pt  0.500  0.000  0.500
Pt  0.500  0.752  0.248
Pt  0.500  0.248  0.248


Below is a relaxed structure of CaSb3Pt, with properties calculated at the PBE level.

energy above the most stable polymorph in this dataset	114.91	kJ per mole of atoms
VASP energy	-14.78	eV for the cell shown
SG	No. 221
size of the total moment	0.00	μB per formula unit
uncorrected formation energy	1.126	eV/atom

a = 5.566 Å, b = 5.566 Å, c = 5.566 Å
α = 90.00°, β = 90.00°, γ = 90.00°
Element x y z (fractional)
Sb  0.500  0.000  0.000
Pt  0.500  0.500  0.500
Ca  0.000  0.000  0.000
Sb  0.000  0.000  0.500
Sb  0.000  0.500  0.000


Below is a relaxed structure of Ca8SbPt2, with properties calculated at the PBE level.

VASP energy	-39.07	eV for the cell shown
SG	No. 8
size of the total moment	0.00	μB per formula unit
uncorrected formation energy	-0.623	eV/atom

a = 5.660 Å, b = 8.145 Å, c = 8.145 Å
α = 111.40°, β = 97.62°, γ = 97.62°
Element x y z (fractional)
Ca  0.584  0.336  0.065
Ca  0.000  0.759  0.247
Sb  0.003  0.003  0.003
Ca  0.000  0.247  0.759
Ca  0.415  0.670  0.941
Ca  0.797  0.623  0.623
Ca  0.415  0.941  0.670
Pt  0.500  0.687  0.319
Ca  0.584  0.065  0.336
Ca  0.202  0.383  0.383
Pt  0.500  0.319  0.687


Below is a relaxed structure of CaSb2Pt2, with properties calculated at the PBE level.

VASP energy	-25.35	eV for the cell shown
SG	No. 139
size of the total moment	0.00	μB per formula unit
uncorrected formation energy	-0.604	eV/atom

a = 4.795 Å, b = 4.795 Å, c = 6.214 Å
α = 67.30°, β = 67.30°, γ = 90.00°
Element x y z (fractional)
Pt  0.250  0.750  0.500
Sb  0.362  0.362  0.277
Pt  0.750  0.250  0.500
Ca  0.000  0.000  0.000
Sb  0.638  0.638  0.723


Question: Which value of uncorrected formation energy does entry 3 give?
Answer: -0.623 eV/atom


Question: What is the uncorrected formation energy in the third record?
Answer: -0.623 eV/atom


What did the fourth record say?
Below is a relaxed structure of CaSb2Pt2, with properties calculated at the PBE level.

VASP energy	-25.35	eV for the cell shown
SG	No. 139
size of the total moment	0.00	μB per formula unit
uncorrected formation energy	-0.604	eV/atom

a = 4.795 Å, b = 4.795 Å, c = 6.214 Å
α = 67.30°, β = 67.30°, γ = 90.00°
Element x y z (fractional)
Pt  0.250  0.750  0.500
Sb  0.362  0.362  0.277
Pt  0.750  0.250  0.500
Ca  0.000  0.000  0.000
Sb  0.638  0.638  0.723